VASP calculation (GGA-PBE) on crystalline AcHgRh at its relaxed geometry.

Cell lengths 12.654, 4.524, 5.505 Å; angles 90.00, 99.24, 90.00 degrees
Space group C2/m (No. 12)
Symmetry-distinct sites (fractional):
1 Ac 0.131 0.000 0.305
2 Hg 0.085 0.500 0.783
3 Rh 0.221 0.000 0.842

calculated total energy	-4.4660	eV/atom
magnetic moment	0.000	μB per cell
E_form	-545	meV per atom
DOS(E_F)	7.1	states/eV/cell